{"formula": "Pm2GdSi", "functional": "GGA-PBE", "state": "relaxed", "e_tot_ev_per_cell": -29.925, "formation_energy_uncorrected_ev_per_fu": -0.9, "polymorph_energy_mev_per_atom": 37, "crystal_system": "tetragonal", "lattice": [[3.933, 0.000, 0.000], [0.000, 3.933, 0.000], [0.000, 0.000, 7.164]], "species": ["Pm", "Pm", "Gd", "Si"], "frac_coords": [[0.000, 0.000, 0.204], [0.000, 0.000, 0.796], [0.500, 0.500, 0.500], [0.500, 0.500, 0.000]]}